{
  "formula": "BeVW",
  "functional": "PBE-GGA",
  "state": "optimized geometry",
  "magmom_total_mub_per_cell": 0.0,
  "e_above_lowest_polymorph_mev_per_atom": 126.6,
  "e_tot_ev_per_fu": -25.10,
  "e_form_ev_per_atom": 0.232,
  "crystal_system": "tetragonal",
  "lattice": [[-2.290, -2.104, -0.232], [2.077, -2.299, 0.352], [-1.057, 0.269, 8.001]],
  "species": ["W", "W", "Be", "Be", "V", "V"],
  "fractional_positions": [[0.000, 0.500, 0.737], [0.500, 0.000, 0.263], [0.000, 0.500, 0.413], [0.500, 0.000, 0.587], [0.500, 0.000, 0.905], [0.000, 0.500, 0.095]]
}


{
  "formula": "PrPu2H6",
  "functional": "PBE-GGA",
  "state": "optimized geometry",
  "magmom_total_mub_per_cell": 11.0,
  "e_tot_ev_per_fu": -57.54,
  "crystal_system": "orthorhombic",
  "lattice": [[3.610, 0.000, -1.167], [-0.794, 4.713, -2.458], [0.134, 0.392, 6.584]],
  "species": ["Pr", "Pu", "Pu", "H", "H", "H", "H", "H", "H"],
  "fractional_positions": [[0.000, 0.000, 0.000], [0.331, 0.331, 0.662], [0.669, 0.669, 0.338], [0.831, 0.086, 0.661], [0.169, 0.425, 0.339], [0.169, 0.914, 0.339], [0.500, 0.265, 0.000], [0.831, 0.575, 0.661], [0.500, 0.735, 0.000]]
}